The following is a PBE calculation of a relaxed structure of AcAgBiF, from Alexandria.

Density of states at the Fermi level ... 0.070 states/eV/atom
Calculated total energy ... -4.84 eV per atom
Magnetic moment ... 0.00 Bohr magnetons per cell
Density ... 9.71 Mg/m³
Energy relative to the elements, uncorrected ... -1.66 eV per atom

Cell lengths 4.5849, 4.5849, 9.1555 Å; angles 90.00, 90.00, 90.00 degrees
Closest atoms and distances in Å follow each position.
Fractional positions:
Ac: 0.0000 0.5000 0.8350  4 F 2.75
Ac: 0.5000 0.0000 0.1650  4 F 2.75
F: 0.5000 0.5000 0.0000  4 Ac 2.75
F: 0.0000 0.0000 0.0000  4 Ac 2.75
Bi: 0.0000 0.5000 0.2948  4 Ag 2.96
Bi: 0.5000 0.0000 0.7052  4 Ag 2.96
Ag: 0.0000 0.0000 0.5000  4 Bi 2.96, 4 Ag 3.24
Ag: 0.5000 0.5000 0.5000  4 Bi 2.96, 4 Ag 3.24